1.
Here is a geometry-optimized La3YF structure from Alexandria via LeMat-Bulk. Energies are from PBE-GGA.

```
La3YF
1.0
5.971 0.000 0.000
0.000 5.971 0.000
0.000 0.000 5.971
La Y F
3 1 1
direct
0.000 0.000 0.500
0.000 0.500 0.000
0.500 0.000 0.000
0.000 0.000 0.000
0.500 0.500 0.500
```

Calculated values
The value obtained for the uncorrected formation energy is 1.72 eV/f.u. For the total magnetization, the calculation gives 0.00 μB per atom. For the relative energy among the computed polymorphs, the calculation gives 31.49 kcal/mol of atoms.

2.
Here is a geometry-optimized LaY2F2 structure from Alexandria via LeMat-Bulk. Energies are from PBE-GGA.

```
LaY2F2
1.0
-1.840 1.840 8.701
1.840 -1.840 8.701
1.840 1.840 -8.701
La Y F
1 2 2
direct
0.000 0.000 0.000
0.341 0.341 0.000
0.659 0.659 0.000
0.250 0.750 0.500
0.750 0.250 0.500
```

Calculated values
The value obtained for the uncorrected formation energy is -10.11 eV/f.u. For the total magnetization, the calculation gives 0.00 μB per atom.